## Sb2MoPt (PBE-GGA)

Data for a relaxed Sb2MoPt crystal. Values from VASP.

ΔE to the lowest computed polymorph: 293 meV/atom
E: -6.0442 eV/atom
formation energy (no corrections): 0.2349 eV per atom
space-group type: No. 139

```
&SYSTEM
  ibrav = 0, nat = 4, ntyp = 3
/
ATOMIC_SPECIES
Sb 121.76 Sb.upf
Mo 95.94 Mo.upf
Pt 195.08 Pt.upf
CELL_PARAMETERS angstrom
-2.234 2.234 3.824
2.234 -2.234 3.824
2.234 2.234 -3.824
ATOMIC_POSITIONS crystal
Sb 0.250 0.750 0.500
Sb 0.750 0.250 0.500
Mo 0.000 0.000 0.000
Pt 0.500 0.500 0.000
```

=====

## Tb2Sm2Y4Sc (PBE-GGA)

Data for a relaxed Tb2Sm2Y4Sc crystal. Values from VASP.

E: -5.6392 eV/atom
space-group type: No. 12
energy relative to the elements: 15 meV per atom

```
&SYSTEM
  ibrav = 0, nat = 9, ntyp = 4
/
ATOMIC_SPECIES
Tb 158.93 Tb.upf
Sm 150.36 Sm.upf
Y 88.91 Y.upf
Sc 44.96 Sc.upf
CELL_PARAMETERS angstrom
9.282 -1.792 0.000
9.282 1.792 0.000
-4.107 0.000 8.576
ATOMIC_POSITIONS crystal
Tb 0.148 0.148 0.165
Tb 0.852 0.852 0.835
Sm 0.337 0.337 0.502
Sm 0.663 0.663 0.498
Y 0.185 0.185 0.832
Y 0.481 0.481 0.170
Y 0.519 0.519 0.830
Y 0.815 0.815 0.168
Sc 0.000 0.000 0.500
```

=====

## CdFeSN2 (PBE-GGA)

Data for a relaxed CdFeSN2 crystal. Values from VASP.

ΔE to the lowest computed polymorph: 0 meV/atom
E: -5.4034 eV/atom
formation energy (no corrections): 0.6278 eV per atom
space-group type: No. 123

```
&SYSTEM
  ibrav = 0, nat = 5, ntyp = 4
/
ATOMIC_SPECIES
Cd 112.41 Cd.upf
Fe 55.84 Fe.upf
S 32.06 S.upf
N 14.01 N.upf
CELL_PARAMETERS angstrom
3.632 0.000 0.000
0.000 3.632 0.000
0.000 0.000 5.201
ATOMIC_POSITIONS crystal
Cd 0.000 0.000 0.000
Fe 0.500 0.500 0.500
S 0.500 0.500 0.000
N 0.000 0.500 0.500
N 0.500 0.000 0.500
```

=====

## KLaPrSbO6 (PBE-GGA)

Data for a relaxed KLaPrSbO6 crystal. Values from VASP.

E: -6.8010 eV/atom
formation energy (no corrections): -2.3333 eV per atom
space-group type: No. 216

```
&SYSTEM
  ibrav = 0, nat = 10, ntyp = 5
/
ATOMIC_SPECIES
K 39.10 K.upf
La 138.91 La.upf
Pr 140.91 Pr.upf
Sb 121.76 Sb.upf
O 16.00 O.upf
CELL_PARAMETERS angstrom
0.000 4.288 4.288
4.288 0.000 4.288
4.288 4.288 0.000
ATOMIC_POSITIONS crystal
K 0.000 0.000 0.000
La 0.500 0.500 0.500
Pr 0.750 0.750 0.750
Sb 0.250 0.250 0.250
O 0.018 0.018 0.482
O 0.018 0.482 0.018
O 0.018 0.482 0.482
O 0.482 0.018 0.018
O 0.482 0.018 0.482
O 0.482 0.482 0.018
```

=====

Which value of E does entry 1 give? -6.0442 eV/atom

=====

Copy entry 1 word for word.
## Sb2MoPt (PBE-GGA)

Data for a relaxed Sb2MoPt crystal. Values from VASP.

ΔE to the lowest computed polymorph: 293 meV/atom
E: -6.0442 eV/atom
formation energy (no corrections): 0.2349 eV per atom
space-group type: No. 139

```
&SYSTEM
  ibrav = 0, nat = 4, ntyp = 3
/
ATOMIC_SPECIES
Sb 121.76 Sb.upf
Mo 95.94 Mo.upf
Pt 195.08 Pt.upf
CELL_PARAMETERS angstrom
-2.234 2.234 3.824
2.234 -2.234 3.824
2.234 2.234 -3.824
ATOMIC_POSITIONS crystal
Sb 0.250 0.750 0.500
Sb 0.750 0.250 0.500
Mo 0.000 0.000 0.000
Pt 0.500 0.500 0.000
```

=====

The lowest E belongs to which entry? KLaPrSbO6